## Hf2TiCN (PBE)

Data for crystalline Hf2TiCN at its relaxed geometry.

Lattice parameters (Å, degrees): 3.242 3.828 11.621 90.00 90.00 90.00
Space group Imm2 (No. 44)
Unique sites:
Hf  0.000  0.000  0.000
Hf  0.000  0.000  0.289
Ti  0.000  0.000  0.648
C  0.000  0.000  0.474
N  0.000  0.500  0.660

Theoretical density in Mg/m³: 9.9
Total magnetic moment in Bohr magnetons per cell: 0.00
Calculated total energy in eV/atom: -9.840

---

## TiZnTe2I (PBE)

Data for crystalline TiZnTe2I at its relaxed geometry.

Lattice parameters (Å, degrees): 5.301 5.301 5.782 90.00 90.00 90.00
Space group P4/mmm (No. 123)
Unique sites:
Ti  0.000  0.000  0.000
Zn  0.500  0.500  0.500
Te  0.000  0.500  0.000
I  0.000  0.000  0.500

Theoretical density in Mg/m³: 5.1
Energy above the most stable polymorph in this dataset in meV per atom: 0
Total magnetic moment in Bohr magnetons per cell: 0.00